DFT (GGA-PBE) results for a relaxed structure of LiPr3Ti2O9.

Values from the calculation:
The uncorrected formation energy comes out at -3050 meV/atom. Its total magnetization is 0.00 μB/atom.

Lattice parameters (Å, degrees): 5.4995 5.4995 6.7844 90.00 90.00 120.00
Closest atoms and distances in Å follow each position.
Element x y z (fractional)
Li1 0.0000 0.0000 0.0000  6 O 1.98
Pr1 0.0000 0.0000 0.5000  12 O 2.75-2.76
Pr2 0.3333 0.6667 0.1511  12 O 2.68-2.85
Pr3 0.6667 0.3333 0.8489  12 O 2.68-2.85
Ti1 0.3333 0.6667 0.6773  6 O 1.88-1.99
Ti2 0.6667 0.3333 0.3227  6 O 1.88-1.99
O1 0.0000 0.5000 0.5000  2 Ti 1.99
O2 0.1689 0.3378 0.8304  1 Ti 1.88, 1 Li 1.98
O3 0.1689 0.8311 0.8304  1 Ti 1.88, 1 Li 1.98
O4 0.3378 0.1689 0.1696  1 Ti 1.88, 1 Li 1.98
O5 0.5000 0.0000 0.5000  2 Ti 1.99
O6 0.5000 0.5000 0.5000  2 Ti 1.99
O7 0.6622 0.8311 0.8304  1 Ti 1.88, 1 Li 1.98
O8 0.8311 0.1689 0.1696  1 Ti 1.88, 1 Li 1.98
O9 0.8311 0.6622 0.1696  1 Ti 1.88, 1 Li 1.98